Material: CrSnIr3
Method: DFT, PBE
State: relaxed

The energy relative to the elements comes out at 5.29 eV/f.u.

Cell lengths 4.5481, 4.5481, 4.5481 Å; angles 90.00, 90.00, 90.00 degrees
With the nearest neighbours (Å) after each atom.
Atoms (fractional coordinates):
Cr 0.0000 0.0000 0.0000  6 Ir 2.27
Sn 0.5000 0.5000 0.5000  12 Ir 3.22
Ir 0.0000 0.0000 0.5000  2 Cr 2.27
Ir 0.0000 0.5000 0.0000  2 Cr 2.27
Ir 0.5000 0.0000 0.0000  2 Cr 2.27

***

Material: CrSn3Ir
Method: DFT, PBE
State: relaxed

The energy relative to the elements comes out at 2.80 eV/f.u.

Cell lengths 5.1459, 5.1459, 5.1459 Å; angles 90.00, 90.00, 90.00 degrees
With the nearest neighbours (Å) after each atom.
Atoms (fractional coordinates):
Cr 0.0000 0.0000 0.0000  12 Sn 3.64
Sn 0.0000 0.5000 0.5000  2 Ir 2.57
Sn 0.5000 0.0000 0.5000  2 Ir 2.57
Sn 0.5000 0.5000 0.0000  2 Ir 2.57
Ir 0.5000 0.5000 0.5000  6 Sn 2.57

***

Material: Cr3SnIr
Method: DFT, PBE
State: relaxed

The energy relative to the elements comes out at 4.95 eV/f.u.

Cell lengths 4.7646, 4.7646, 4.7646 Å; angles 90.00, 90.00, 90.00 degrees
With the nearest neighbours (Å) after each atom.
Atoms (fractional coordinates):
Cr 0.0000 0.0000 0.5000  2 Ir 2.38
Cr 0.0000 0.5000 0.0000  2 Ir 2.38
Cr 0.5000 0.0000 0.0000  2 Ir 2.38
Sn 0.5000 0.5000 0.5000  12 Cr 3.37
Ir 0.0000 0.0000 0.0000  6 Cr 2.38

***

Material: Cr2SnIr
Method: DFT, PBE
State: relaxed

The energy relative to the elements comes out at 2.42 eV/f.u.

Cell lengths 5.7482, 5.7482, 5.7482 Å; angles 103.49, 103.49, 122.23 degrees
With the nearest neighbours (Å) after each atom.
Atoms (fractional coordinates):
Cr 0.0866 0.1250 0.4616  2 Ir 2.43
Cr 0.3750 0.9134 0.0384  2 Ir 2.43
Cr 0.6634 0.6250 0.5384  2 Ir 2.43
Cr 0.8750 0.3366 0.9616  2 Ir 2.43
Sn 0.2500 0.7500 0.5000  2 Ir 2.78, 4 Cr 2.80
Sn 0.5000 0.5000 0.0000  2 Ir 2.78, 4 Cr 2.80
Ir 0.0000 0.0000 0.0000  4 Cr 2.43
Ir 0.7500 0.2500 0.5000  4 Cr 2.43

***

Material: ZnCrSnIr
Method: DFT, PBE
State: relaxed

The energy relative to the elements comes out at -0.07 eV/f.u.

Cell lengths 4.4820, 4.4820, 4.4820 Å; angles 60.00, 60.00, 60.00 degrees
With the nearest neighbours (Å) after each atom.
Atoms (fractional coordinates):
Zn 0.0000 0.0000 0.0000  4 Cr 2.74, 4 Ir 2.74
Cr 0.7500 0.7500 0.7500  4 Sn 2.74, 4 Zn 2.74
Sn 0.5000 0.5000 0.5000  4 Cr 2.74, 4 Ir 2.74
Ir 0.2500 0.2500 0.2500  4 Sn 2.74, 4 Zn 2.74

***

Material: ZrCrSn2Ir
Method: DFT, PBE
State: relaxed

The energy relative to the elements comes out at 2.96 eV/f.u.

Cell lengths 4.8916, 4.8916, 4.5764 Å; angles 90.00, 90.00, 90.00 degrees
With the nearest neighbours (Å) after each atom.
Atoms (fractional coordinates):
Zr 0.0000 0.0000 0.0000  8 Sn 3.35, 4 Ir 3.46
Cr 0.5000 0.5000 0.5000  2 Ir 2.29, 4 Sn 2.45
Sn 0.0000 0.5000 0.5000  2 Cr 2.45
Sn 0.5000 0.0000 0.5000  2 Cr 2.45
Ir 0.5000 0.5000 0.0000  2 Cr 2.29

***

Material: Sr2CrIr
Method: DFT, PBE
State: relaxed

The energy relative to the elements comes out at 1.71 eV/f.u.

Cell lengths 3.5923, 3.7457, 8.2203 Å; angles 90.00, 90.00, 90.00 degrees
With the nearest neighbours (Å) after each atom.
Atoms (fractional coordinates):
Sr 0.0000 0.0000 0.2125  4 Ir 3.13, 1 Sr 3.49
Sr 0.0000 0.0000 0.7875  4 Ir 3.13, 1 Sr 3.49
Cr 0.5000 0.5000 0.5000  8 Sr 3.51, 4 Cr 3.59-3.75
Ir 0.5000 0.5000 0.0000  8 Sr 3.13

***

Material: Sr2CrIr
Method: DFT, PBE
State: relaxed

The energy relative to the elements comes out at 0.47 eV/f.u.

Cell lengths 4.3655, 6.1439, 6.1439 Å; angles 46.38, 90.00, 90.00 degrees
With the nearest neighbours (Å) after each atom.
Atoms (fractional coordinates):
Sr 0.0000 0.0000 0.0000  3 Cr 3.21-3.54, 4 Ir 3.45
Sr 0.5000 0.2881 0.2881  3 Ir 3.22-3.52, 4 Cr 3.45
Cr 0.0000 0.6866 0.6866  2 Ir 2.39
Ir 0.5000 0.5999 0.5999  2 Cr 2.39